First-principles (PBEsol) data for a geometry-optimized Y2ZnP structure, as listed in Alexandria via LeMat-Bulk.

## Properties
Calculated formation energy (meV/atom): -897
Total moment (μB per cell): 0.00
DOS(E_F) (states/eV/cell): 9.8
Offset from the most stable computed form (kJ per mole of atoms): 3.2
Total energy (eV per atom): -6.151

a b c (Å): 3.9109 3.9109 21.0180
angles (deg): 90.00 90.00 120.00
Space group R-3m (No. 166, hexagonal axes)
Inequivalent atoms, fractional coordinates:
Y (0.0000, 0.0000, 0.2402) x6
Zn (0.0000, 0.0000, 0.0000) x3
P (0.0000, 0.0000, 0.5000) x3

First-principles (PBEsol) data for a geometry-optimized Y2ZnP2 structure, as listed in Alexandria via LeMat-Bulk.

## Properties
Calculated formation energy (meV/atom): -1094
Total moment (μB per cell): 0.00
DOS(E_F) (states/eV/cell): 0.6
Total energy (eV per atom): -6.456

a b c (Å): 7.190 7.190 3.738
angles (deg): 90.00 90.00 90.00
Space group P4/mbm (No. 127)
Inequivalent atoms, fractional coordinates:
Y (0.158, 0.342, 0.000) x4
Zn (0.000, 0.000, 0.500) x2
P (0.152, 0.652, 0.500) x4

- total moment of number 2 (Y2ZnP2)?
  0.00 μB per cell

Repeat the second record exactly.
First-principles (PBEsol) data for a geometry-optimized Y2ZnP2 structure, as listed in Alexandria via LeMat-Bulk.

## Properties
Calculated formation energy (meV/atom): -1094
Total moment (μB per cell): 0.00
DOS(E_F) (states/eV/cell): 0.6
Total energy (eV per atom): -6.456

a b c (Å): 7.190 7.190 3.738
angles (deg): 90.00 90.00 90.00
Space group P4/mbm (No. 127)
Inequivalent atoms, fractional coordinates:
Y (0.158, 0.342, 0.000) x4
Zn (0.000, 0.000, 0.500) x2
P (0.152, 0.652, 0.500) x4

- What is the total energy in the second record?
  -6.456 eV per atom